Pr5NiBr5 GGA-PBE optimized geometry; formation energy without anion corrections = -1.195 eV/atom; symmetry = C2/m
1.0
5.985 0.000 0.000
-2.992 6.117 -2.284
0.000 0.109 8.887
Br Pr Ni
5 5 1
Direct
0.000 0.000 0.500 Br
0.355 0.709 0.209 Br
0.673 0.346 0.360 Br
0.327 0.654 0.640 Br
0.645 0.291 0.791 Br
0.500 0.000 0.000 Pr
0.828 0.655 0.136 Pr
0.172 0.345 0.864 Pr
0.145 0.289 0.284 Pr
0.855 0.711 0.716 Pr
0.000 0.000 0.000 Ni

---

SmCuSn2Pt4 GGA-PBE optimized geometry; DFT formation energy = -616 meV per atom; symmetry = R-3m
1.0
4.471 0.000 0.000
2.235 3.872 0.000
2.235 1.291 8.824
Pt Sn Cu Sm
4 2 1 1
Direct
0.600 0.600 0.201 Pt
0.136 0.136 0.592 Pt
0.400 0.400 0.799 Pt
0.864 0.864 0.408 Pt
0.759 0.759 0.724 Sn
0.241 0.241 0.276 Sn
0.500 0.500 0.500 Cu
0.000 0.000 0.000 Sm

---

SmMg6Cd2 GGA-PBE optimized geometry; E above lowest polymorph = 468 meV/atom; DFT formation energy = 368 meV per atom; symmetry = Fd-3m
1.0
7.973 0.000 4.603
2.658 7.517 4.603
0.000 0.000 9.206
Sm Mg Cd
2 12 4
Direct
0.750 0.750 0.750 Sm
0.500 0.500 0.500 Sm
0.500 0.500 0.000 Mg
0.250 0.750 0.250 Mg
0.000 0.000 0.500 Mg
0.750 0.750 0.250 Mg
0.250 0.750 0.750 Mg
0.000 0.500 0.500 Mg
0.750 0.250 0.250 Mg
0.750 0.250 0.750 Mg
0.500 0.000 0.000 Mg
0.500 0.000 0.500 Mg
0.000 0.500 0.000 Mg
0.250 0.250 0.750 Mg
0.125 0.125 0.625 Cd
0.125 0.125 0.125 Cd
0.125 0.625 0.125 Cd
0.625 0.125 0.125 Cd